[1]
VASP calculation (PBE) on an optimized crystal structure of LiAcBi.

As for the total magnetization: 0.0000 μB per atom. The calculation puts the energy of formation at -0.51 eV/atom. The excess energy over the best structure of this formula in the dataset comes out at 207.1 meV/atom.

It has space group P4_2/mmc (No. 131), with a = 5.082 Å, b = 5.082 Å, c = 7.095 Å, α = 90.00°, β = 90.00° and γ = 90.00°. The inequivalent atoms are Li at (0.000, 0.000, 0.250), Ac at (0.000, 0.500, 0.000) and Bi at (0.000, 0.500, 0.500).

---

[2]
VASP calculation (PBE) on an optimized crystal structure of CsGa2Ge2.

As for the total magnetization: 0.0000 μB per atom. The calculation puts the energy of formation at -0.05 eV/atom. The excess energy over the best structure of this formula in the dataset comes out at 19.7 meV/atom.

It has space group I4/mmm (No. 139), with a = 4.744 Å, b = 4.744 Å, c = 11.103 Å, α = 90.00°, β = 90.00° and γ = 90.00°. The inequivalent atoms are Cs at (0.000, 0.000, 0.000), Ga at (0.000, 0.000, 0.374) and Ge at (0.000, 0.500, 0.250).

---

[3]
VASP calculation (PBE) on an optimized crystal structure of IrSe3F.

Its formation energy (no corrections) is 1.057 eV/atom. As for the total magnetization: 0.0000 μB per atom. The excess energy over the best structure of this formula in the dataset comes out at 639.1 meV/atom.

It has space group Pm-3m (No. 221), with a = 4.516 Å, b = 4.516 Å, c = 4.516 Å, α = 90.00°, β = 90.00° and γ = 90.00°. The inequivalent atoms are Ir at (0.000, 0.000, 0.000), Se at (0.000, 0.500, 0.500) and F at (0.500, 0.500, 0.500).

---

[4]
VASP calculation (PBE) on an optimized crystal structure of Pm2DyEr7.

As for the total magnetization: 0.0000 μB per atom. The calculation puts the energy of formation at 0.22 eV/atom. The excess energy over the best structure of this formula in the dataset comes out at 64.6 meV/atom.

It has space group C2/m (No. 12), with a = 16.429 Å, b = 5.521 Å, c = 8.414 Å, α = 90.00°, β = 120.23° and γ = 90.00°. The inequivalent atoms are Pm at (0.135, 0.000, 0.098), Dy at (0.000, 0.000, 0.500), Er at (0.000, 0.500, 0.000), Er at (0.112, 0.500, 0.784), Er at (0.147, 0.500, 0.448) and Er at (0.228, 0.000, 0.768).

---

[5]
VASP calculation (PBE) on an optimized crystal structure of PuThSn2.

As for the total magnetization: 1.5949 μB per atom. The calculation puts the energy of formation at -0.32 eV/atom. The excess energy over the best structure of this formula in the dataset comes out at 120.2 meV/atom.

It has space group Fm-3m (No. 225), with a = 7.666 Å, b = 7.666 Å, c = 7.666 Å, α = 90.00°, β = 90.00° and γ = 90.00°. The inequivalent atoms are Pu at (0.000, 0.000, 0.000), Th at (0.000, 0.000, 0.500) and Sn at (0.250, 0.250, 0.250).

---

[6]
VASP calculation (PBE) on an optimized crystal structure of Er2TmCd3.

As for the total magnetization: 0.0000 μB per atom. The calculation puts the energy of formation at -0.31 eV/atom.

It has space group P-3m1 (No. 164), with a = 5.2354 Å, b = 5.2354 Å, c = 6.4335 Å, α = 90.00°, β = 90.00° and γ = 120.00°. The inequivalent atoms are Er at (0.3333, 0.6667, 0.1682), Tm at (0.0000, 0.0000, 0.5000), Cd at (0.0000, 0.0000, 0.0000) and Cd at (0.3333, 0.6667, 0.6673).

---

[7]
VASP calculation (PBE) on an optimized crystal structure of Ag4HgPd2.

As for the total magnetization: 0.0000 μB per atom. The calculation puts the energy of formation at 0.11 eV/atom. The excess energy over the best structure of this formula in the dataset comes out at 74.6 meV/atom.

It has space group P2_1/c (No. 14), with a = 5.041 Å, b = 9.580 Å, c = 5.453 Å, α = 90.00°, β = 94.77° and γ = 90.00°. The inequivalent atoms are Ag at (0.030, 0.174, 0.442), Ag at (0.459, 0.730, 0.315), Hg at (0.500, 0.000, 0.500) and Pd at (0.227, 0.039, 0.911).

---

[8]
VASP calculation (PBE) on an optimized crystal structure of NbZn2As2.

As for the total magnetization: 0.0000 μB per atom. The calculation puts the energy of formation at -0.03 eV/atom.

It has space group P4/mbm (No. 127), with a = 6.823 Å, b = 6.823 Å, c = 3.739 Å, α = 90.00°, β = 90.00° and γ = 90.00°. The inequivalent atoms are Nb at (0.000, 0.000, 0.000), Zn at (0.164, 0.336, 0.500) and As at (0.146, 0.646, 0.000).

---

[9]
VASP calculation (PBE) on an optimized crystal structure of BiSb2Pd2.

Its formation energy (no corrections) is -0.093 eV/atom. As for the total magnetization: 0.0000 μB per atom. The excess energy over the best structure of this formula in the dataset comes out at 101.4 meV/atom.

It has space group P4/mbm (No. 127), with a = 8.397 Å, b = 8.397 Å, c = 3.229 Å, α = 90.00°, β = 90.00° and γ = 90.00°. The inequivalent atoms are Bi at (0.000, 0.000, 0.000), Sb at (0.156, 0.344, 0.000) and Pd at (0.124, 0.624, 0.500).

---

[10]
VASP calculation (PBE) on an optimized crystal structure of TlV3Se6.

Its formation energy (no corrections) is -0.624 eV/atom. As for the total magnetization: 0.0002 μB per atom.

It has space group P2_1/m (No. 11), with a = 12.581 Å, b = 3.361 Å, c = 13.398 Å, α = 90.00°, β = 91.10° and γ = 90.00°. The inequivalent atoms are Tl at (0.185, 0.250, 0.421), V at (0.042, 0.750, 0.912), V at (0.127, 0.250, 0.727), V at (0.448, 0.750, 0.565), Se at (0.045, 0.750, 0.206), Se at (0.075, 0.750, 0.598), Se at (0.137, 0.250, 0.018), Se at (0.223, 0.750, 0.828), Se at (0.319, 0.250, 0.624) and Se at (0.417, 0.750, 0.383).

---

[11]
VASP calculation (PBE) on an optimized crystal structure of Cd2Rh3O8.

Its formation energy (no corrections) is -0.796 eV/atom. As for the total magnetization: 0.1942 μB per atom.

It has space group C2/m (No. 12), with a = 10.920 Å, b = 6.220 Å, c = 5.262 Å, α = 90.00°, β = 108.85° and γ = 90.00°. The inequivalent atoms are Cd at (0.216, 0.000, 0.146), Rh at (0.000, 0.244, 0.500), Rh at (0.000, 0.500, 0.000), O at (0.097, 0.500, 0.405), O at (0.101, 0.000, 0.432) and O at (0.109, 0.281, 0.887).

---

[12]
VASP calculation (PBE) on an optimized crystal structure of MnBe2As.

As for the total magnetization: 0.0000 μB per atom. The calculation puts the energy of formation at 0.04 eV/atom.

It has space group P4mm (No. 99), with a = 3.003 Å, b = 3.003 Å, c = 4.759 Å, α = 90.00°, β = 90.00° and γ = 90.00°. The inequivalent atoms are Mn at (0.000, 0.000, 0.000), Be at (0.000, 0.000, 0.527), Be at (0.500, 0.500, 0.738) and As at (0.500, 0.500, 0.248).